BeTlSe4 (PBE-GGA, optimized geometry); D(E_F) = 0.66 states/eV/atom; raw total energy = -2.7147 eV/atom
1.0
-1.130 3.328 4.671
-5.521 0.826 1.734
-1.909 -2.459 4.948
Se Tl Be
4 1 1
direct
0.372 0.883 0.372
0.372 0.372 0.372
0.372 0.372 0.883
0.883 0.372 0.372
0.750 0.750 0.750
0.000 0.000 0.000

***

BeTlW2Se (PBE-GGA, optimized geometry); D(E_F) = 1.06 states/eV/atom; raw total energy = -4.0216 eV/atom
1.0
5.233 0.000 0.000
0.000 5.259 0.000
0.000 0.000 5.233
Tl W Be Se
1 2 1 1
direct
0.000 0.000 0.000
0.500 0.000 0.000
0.000 0.000 0.500
0.500 0.500 0.500
0.000 0.500 0.000

***

YBe2TlSe (PBE-GGA, optimized geometry); D(E_F) = 0.54 states/eV/atom; raw total energy = -3.5359 eV/atom
1.0
-3.131 3.041 -0.488
-3.045 -2.332 5.009
2.234 2.722 2.625
Tl Se Be Y
1 1 2 1
direct
0.000 0.000 0.000
0.000 0.500 0.000
0.000 0.000 0.500
0.500 0.000 0.000
0.500 0.500 0.500

***

BeTl2ZnSe (PBE-GGA, optimized geometry); D(E_F) = 0.16 states/eV/atom; raw total energy = -2.0234 eV/atom
1.0
5.521 0.000 0.000
0.000 4.896 0.000
0.000 0.000 5.521
Zn Se Tl Be
1 1 2 1
direct
0.000 0.000 0.000
0.000 0.500 0.000
0.500 0.000 0.000
0.000 0.000 0.500
0.500 0.500 0.500